(1)
Compound: ZrSeO5
Source: Alexandria via LeMat-Bulk
Functional: GGA-PBE
Structure: relaxed

a = 8.017 Å, b = 8.106 Å, c = 7.806 Å
α = 90.00°, β = 118.67°, γ = 90.00°
Space group C2/c (No. 15)
One atom of each set of equivalent atoms:
Zr 0.000 0.000 0.000 x4
Se 0.000 0.374 0.250 x4
O 0.000 0.059 0.750 x4
O 0.003 0.261 0.071 x8
O 0.188 0.497 0.349 x8

Summary:
E_form (uncorrected) (kcal/mol of atoms): -38.97
Crystal system: monoclinic
Mass density (g/cm³): 3.7

(2)
Compound: ScAs2SeF
Source: Alexandria via LeMat-Bulk
Functional: GGA-PBE
Structure: relaxed

a = 5.111 Å, b = 5.111 Å, c = 4.963 Å
α = 90.00°, β = 90.00°, γ = 90.00°
Space group P4/mmm (No. 123)
One atom of each set of equivalent atoms:
Sc 0.000 0.000 0.000 x1
As 0.000 0.500 0.000 x2
Se 0.000 0.000 0.500 x1
F 0.500 0.500 0.500 x1

Summary:
E_form (uncorrected) (kcal/mol of atoms): -2.03
Crystal system: tetragonal
Mass density (g/cm³): 3.8
Polymorph energy (0 for the lowest one) (meV per atom): 282.5

What are the N(E_F) values for these records? In order: 0.0 2.3 states/eV/f.u..
What are the energy values for these records? In order: -48.65 -21.43 eV/f.u..